A relaxed structure of CsSb2MoO8. Source: Alexandria via LeMat-Bulk, functional GGA+U.

Results
* V: 20.47 Å³/atom
* density: 4.06 g/cm3
* total energy: -5.979 eV/atom

Unit cell a=5.3462 b=5.3462 c=9.9242 alpha=90.00 beta=90.00 gamma=120.00
Closest atoms and distances in Å follow each position.
Atoms (fractional coordinates):
Cs 0.0000 0.0000 0.0000  6 O 3.33
Sb 0.6667 0.3333 0.3124  4 O 1.86-1.94
Sb 0.3333 0.6667 0.6876  4 O 1.86-1.94
Mo 0.0000 0.0000 0.5000  6 O 1.98
O 0.3333 0.6667 0.8746  1 Sb 1.86
O 0.3096 0.2908 0.3832  1 Sb 1.94, 1 Mo 1.98
O 0.7092 0.0188 0.3832  1 Sb 1.94, 1 Mo 1.98
O 0.6667 0.3333 0.1254  1 Sb 1.86
O 0.2908 0.9812 0.6168  1 Sb 1.94, 1 Mo 1.98
O 0.6904 0.7092 0.6168  1 Sb 1.94, 1 Mo 1.98
O 0.0188 0.3096 0.6168  1 Sb 1.94, 1 Mo 1.98
O 0.9812 0.6904 0.3832  1 Sb 1.94, 1 Mo 1.98